Here is a relaxed structure of Tm4CdCo from Alexandria via LeMat-Bulk. Energies are from PBE.

Cell and atoms, written as extended XYZ:
```
12
Lattice="-3.3105 2.1290 -4.4023 -4.3764 -0.0556 7.8309 5.9265 4.6936 -0.5095" Properties=species:S:1:pos:R:3 pbc="T T T"
Tm -1.4508 3.9283 5.2806
Tm -5.5533 2.6614 2.1699
Tm 0.0324 2.0166 0.9574
Tm 1.3492 4.4221 3.4688
Tm -0.3096 2.8387 -2.3615
Tm -1.7928 4.7504 1.9617
Tm 3.7929 4.1056 0.7492
Tm -3.1096 2.3449 -0.5497
Cd -2.4938 1.9404 3.1168
Cd 0.7334 4.8266 -0.1977
Co -2.4788 1.6079 -3.2994
Co 0.7183 5.1591 6.2185
```

Calculated values
relative energy among the computed polymorphs	0.055	eV per atom
total energy	-4.531	eV per atom
calculated formation energy	-0.21	eV per atom